No. 1
# RbLiSnSe3

Crystalline RbLiSnSe3 at its relaxed geometry (PBE, Alexandria).

```
data_RbLiSnSe3
_chemical_formula_sum 'Rb4 Li4 Sn4 Se12'
_cell_length_a 7.257
_cell_length_b 14.097
_cell_length_c 7.223
_cell_angle_alpha 90.00
_cell_angle_beta 90.00
_cell_angle_gamma 90.00
_space_group_name_H-M_alt 'C m c m'
_space_group_IT_number 63
_space_group_name_Hall '-C 2c 2'
loop_
_atom_site_label
_atom_site_type_symbol
_atom_site_fract_x
_atom_site_fract_y
_atom_site_fract_z
Rb1 Rb 0.000 0.244 0.250
Li1 Li 0.000 0.424 0.750
Sn1 Sn 0.000 0.062 0.750
Se1 Se 0.000 0.240 0.750
Se2 Se 0.250 0.000 0.000
```

Properties
- energy (eV/cell) = -88.28
- density of states at the Fermi level (states/eV per cell) = 4.178



No. 2
# Tc2PtAu2

Crystalline Tc2PtAu2 at its relaxed geometry (PBE, Alexandria).

```
data_Tc2PtAu2
_chemical_formula_sum 'Tc4 Pt2 Au4'
_cell_length_a 3.728
_cell_length_b 3.728
_cell_length_c 12.898
_cell_angle_alpha 90.00
_cell_angle_beta 90.00
_cell_angle_gamma 90.00
_space_group_name_H-M_alt 'I 4/m m m'
_space_group_IT_number 139
_space_group_name_Hall '-I 4 2'
loop_
_atom_site_label
_atom_site_type_symbol
_atom_site_fract_x
_atom_site_fract_y
_atom_site_fract_z
Tc1 Tc 0.000 0.000 0.086
Pt1 Pt 0.000 0.000 0.500
Au1 Au 0.000 0.500 0.250
```

Properties
- calculated formation energy (eV/atom) = 0.619
- density of states at the Fermi level (states/eV per cell) = 12.544
- energy above the lowest structure with this stoichiometry (meV per atom) = 98



No. 3
# AgB3Ru

Crystalline AgB3Ru at its relaxed geometry (PBE, Alexandria).

```
data_AgB3Ru
_chemical_formula_sum 'Ag1 B3 Ru1'
_cell_length_a 4.056
_cell_length_b 4.056
_cell_length_c 4.056
_cell_angle_alpha 90.00
_cell_angle_beta 90.00
_cell_angle_gamma 90.00
_space_group_name_H-M_alt 'P m -3 m'
_space_group_IT_number 221
_space_group_name_Hall '-P 4 2 3'
loop_
_atom_site_label
_atom_site_type_symbol
_atom_site_fract_x
_atom_site_fract_y
_atom_site_fract_z
Ag1 Ag 0.000 0.000 0.000
B1 B 0.000 0.000 0.500
Ru1 Ru 0.500 0.500 0.500
```

Properties
- calculated formation energy (eV/atom) = 2.356
- density of states at the Fermi level (states/eV per cell) = 5.024
- energy above the lowest structure with this stoichiometry (meV per atom) = 1344



No. 4
# La2NpInN5

Crystalline La2NpInN5 at its relaxed geometry (PBE, Alexandria).

```
data_La2NpInN5
_chemical_formula_sum 'La8 Np4 In4 N20'
_cell_length_a 3.553
_cell_length_b 14.290
_cell_length_c 10.961
_cell_angle_alpha 90.00
_cell_angle_beta 90.00
_cell_angle_gamma 90.00
_space_group_name_H-M_alt 'C m c 21'
_space_group_IT_number 36
loop_
_space_group_symop_operation_xyz
'x,y,z'
'-x,-y,z+1/2'
'-x,y,z'
'x,-y,z+1/2'
'x+1/2,y+1/2,z'
'-x+1/2,-y+1/2,z+1/2'
'-x+1/2,y+1/2,z'
'x+1/2,-y+1/2,z+1/2'
loop_
_atom_site_label
_atom_site_type_symbol
_atom_site_fract_x
_atom_site_fract_y
_atom_site_fract_z
La1 La 0.000 0.102 0.000
La2 La 0.000 0.132 0.609
Np1 Np 0.000 0.217 0.326
In1 In 0.000 0.471 0.776
N1 N 0.000 0.069 0.372
N2 N 0.000 0.273 0.950
N3 N 0.000 0.297 0.705
N4 N 0.000 0.362 0.314
N5 N 0.000 0.495 0.086
```

Properties
- energy (eV/cell) = -301.39
- density of states at the Fermi level (states/eV per cell) = 7.534



No. 5
# Zr2CrPb

Crystalline Zr2CrPb at its relaxed geometry (PBE, Alexandria).

```
data_Zr2CrPb
_chemical_formula_sum 'Zr2 Cr1 Pb1'
_cell_length_a 3.253
_cell_length_b 3.243
_cell_length_c 8.000
_cell_angle_alpha 90.00
_cell_angle_beta 90.06
_cell_angle_gamma 90.00
_space_group_name_H-M_alt 'P 1 2/m 1'
_space_group_IT_number 10
loop_
_space_group_symop_operation_xyz
'x,y,z'
'-x,-y,-z'
'-x,y,-z'
'x,-y,z'
loop_
_atom_site_label
_atom_site_type_symbol
_atom_site_fract_x
_atom_site_fract_y
_atom_site_fract_z
Zr1 Zr 0.000 0.000 0.194
Cr1 Cr 0.500 0.500 0.000
Pb1 Pb 0.500 0.500 0.500
```

Properties
- calculated formation energy (eV/atom) = 0.032
- density of states at the Fermi level (states/eV per cell) = 2.524



No. 6
# Tm2ZrNp3N6

Crystalline Tm2ZrNp3N6 at its relaxed geometry (PBE, Alexandria).

```
data_Tm2ZrNp3N6
_chemical_formula_sum 'Tm4 Zr2 Np6 N12'
_cell_length_a 5.871
_cell_length_b 10.168
_cell_length_c 5.908
_cell_angle_alpha 90.00
_cell_angle_beta 109.36
_cell_angle_gamma 90.00
_space_group_name_H-M_alt 'C 1 2/m 1'
_space_group_IT_number 12
loop_
_space_group_symop_operation_xyz
'x,y,z'
'-x,-y,-z'
'-x,y,-z'
'x,-y,z'
'x+1/2,y+1/2,z'
'-x+1/2,-y+1/2,-z'
'-x+1/2,y+1/2,-z'
'x+1/2,-y+1/2,z'
loop_
_atom_site_label
_atom_site_type_symbol
_atom_site_fract_x
_atom_site_fract_y
_atom_site_fract_z
Tm1 Tm 0.000 0.167 0.000
Zr1 Zr 0.000 0.500 0.000
Np1 Np 0.000 0.000 0.500
Np2 Np 0.000 0.333 0.500
N1 N 0.244 0.500 0.752
N2 N 0.246 0.337 0.247
```

Properties
- energy (eV/cell) = -246.99
- density of states at the Fermi level (states/eV per cell) = 35.413



No. 7
# NaMg12Zn5

Crystalline NaMg12Zn5 at its relaxed geometry (PBE, Alexandria).

```
data_NaMg12Zn5
_chemical_formula_sum 'Na2 Mg24 Zn10'
_cell_length_a 8.379
_cell_length_b 8.789
_cell_length_c 10.452
_cell_angle_alpha 90.00
_cell_angle_beta 90.00
_cell_angle_gamma 90.00
_space_group_name_H-M_alt 'I m m m'
_space_group_IT_number 71
_space_group_name_Hall '-I 2 2'
loop_
_atom_site_label
_atom_site_type_symbol
_atom_site_fract_x
_atom_site_fract_y
_atom_site_fract_z
Na1 Na 0.000 0.000 0.000
Mg1 Mg 0.000 0.305 0.174
Mg2 Mg 0.186 0.277 0.500
Mg3 Mg 0.192 0.000 0.260
Zn1 Zn 0.000 0.000 0.500
Zn2 Zn 0.000 0.500 0.378
Zn3 Zn 0.165 0.500 0.000
```

Properties
- calculated formation energy (eV/atom) = -0.015
- density of states at the Fermi level (states/eV per cell) = 14.273



No. 8
# InGaRh2N

Crystalline InGaRh2N at its relaxed geometry (PBE, Alexandria).

```
data_InGaRh2N
_chemical_formula_sum 'In1 Ga1 Rh2 N1'
_cell_length_a 3.997
_cell_length_b 3.997
_cell_length_c 5.188
_cell_angle_alpha 90.00
_cell_angle_beta 90.00
_cell_angle_gamma 90.00
_space_group_name_H-M_alt 'P 4/m m m'
_space_group_IT_number 123
_space_group_name_Hall '-P 4 2'
loop_
_atom_site_label
_atom_site_type_symbol
_atom_site_fract_x
_atom_site_fract_y
_atom_site_fract_z
In1 In 0.000 0.000 0.000
Ga1 Ga 0.500 0.500 0.000
Rh1 Rh 0.000 0.500 0.500
N1 N 0.000 0.000 0.500
```

Properties
- energy (eV/cell) = -27.20
- density of states at the Fermi level (states/eV per cell) = 3.878



No. 9
# Pr2Ho5Er3

Crystalline Pr2Ho5Er3 at its relaxed geometry (PBE, Alexandria).

```
data_Pr2Ho5Er3
_chemical_formula_sum 'Pr8 Ho20 Er12'
_cell_length_a 10.586
_cell_length_b 15.966
_cell_length_c 9.357
_cell_angle_alpha 90.00
_cell_angle_beta 124.18
_cell_angle_gamma 90.00
_space_group_name_H-M_alt 'C 1 2/c 1'
_space_group_IT_number 15
loop_
_space_group_symop_operation_xyz
'x,y,z'
'-x,-y,-z'
'-x,y,-z+1/2'
'x,-y,z+1/2'
'x+1/2,y+1/2,z'
'-x+1/2,-y+1/2,-z'
'-x+1/2,y+1/2,-z+1/2'
'x+1/2,-y+1/2,z+1/2'
loop_
_atom_site_label
_atom_site_type_symbol
_atom_site_fract_x
_atom_site_fract_y
_atom_site_fract_z
Pr1 Pr 0.141 0.127 0.046
Ho1 Ho 0.000 0.232 0.250
Ho2 Ho 0.000 0.274 0.750
Ho3 Ho 0.000 0.472 0.750
Ho4 Ho 0.230 0.382 0.218
Er1 Er 0.000 0.023 0.250
Er2 Er 0.158 0.379 0.549
```

Properties
- calculated formation energy (eV/atom) = 0.196
- density of states at the Fermi level (states/eV per cell) = 68.513
- energy above the lowest structure with this stoichiometry (meV per atom) = 0



No. 10
# La2ZnRhBr

Crystalline La2ZnRhBr at its relaxed geometry (PBE, Alexandria).

```
data_La2ZnRhBr
_chemical_formula_sum 'La2 Zn1 Rh1 Br1'
_cell_length_a 5.643
_cell_length_b 5.643
_cell_length_c 4.631
_cell_angle_alpha 90.00
_cell_angle_beta 90.00
_cell_angle_gamma 90.00
_space_group_name_H-M_alt 'P 4/m m m'
_space_group_IT_number 123
_space_group_name_Hall '-P 4 2'
loop_
_atom_site_label
_atom_site_type_symbol
_atom_site_fract_x
_atom_site_fract_y
_atom_site_fract_z
La1 La 0.000 0.500 0.000
Zn1 Zn 0.000 0.000 0.500
Rh1 Rh 0.500 0.500 0.500
Br1 Br 0.500 0.500 0.000
```

Properties
- energy (eV/cell) = -20.72
- density of states at the Fermi level (states/eV per cell) = 4.974



No. 11
# Li4Nd3ZrSe8

Crystalline Li4Nd3ZrSe8 at its relaxed geometry (PBE, Alexandria).

```
data_Li4Nd3ZrSe8
_chemical_formula_sum 'Li12 Nd9 Zr3 Se24'
_cell_length_a 8.1933
_cell_length_b 8.1933
_cell_length_c 19.6307
_cell_angle_alpha 90.00
_cell_angle_beta 90.00
_cell_angle_gamma 120.00
_space_group_name_H-M_alt 'R -3 m'
_space_group_IT_number 166
_space_group_name_Hall '-R 3 2"'
loop_
_atom_site_label
_atom_site_type_symbol
_atom_site_fract_x
_atom_site_fract_y
_atom_site_fract_z
Li1 Li 0.0000 0.0000 0.0000
Li2 Li 0.0000 0.5000 0.0000
Nd1 Nd 0.0000 0.5000 0.5000
Zr1 Zr 0.0000 0.0000 0.5000
Se1 Se 0.0000 0.0000 0.2555
Se2 Se 0.0195 0.5098 0.2519
```

Properties
- energy (eV/cell) = -249.63
- density of states at the Fermi level (states/eV per cell) = 13.086